Record 1
Computed, not measured: a geometry-optimized CePr4Er10 structure at the PBE level of DFT.

abc: 8.654 8.654 8.654
angles: 112.51 112.51 103.55
Positions (direct):
Ce: 0.000 0.000 0.000
Pr: 0.673 0.061 0.734
Pr: 0.061 0.327 0.388
Pr: 0.939 0.673 0.612
Pr: 0.327 0.939 0.266
Er: 0.750 0.250 0.500
Er: 0.459 0.550 0.326
Er: 0.867 0.541 0.091
Er: 0.450 0.776 0.909
Er: 0.224 0.133 0.674
Er: 0.541 0.450 0.674
Er: 0.250 0.750 0.500
Er: 0.776 0.867 0.326
Er: 0.550 0.224 0.091
Er: 0.133 0.459 0.909

Computed properties:
raw total energy	-65.14	eV per cell



Record 2
Computed, not measured: a geometry-optimized TaPd2Pb structure at the PBE level of DFT.

abc: 3.030 3.030 8.253
angles: 90.00 90.00 90.00
Positions (direct):
Pb: 0.500 0.500 0.500
Pd: 0.000 0.000 0.782
Pd: 0.000 0.000 0.218
Ta: 0.500 0.500 0.000

Computed properties:
raw total energy	-26.52	eV per cell



Record 3
Computed, not measured: a geometry-optimized AcDy2Pb structure at the PBE level of DFT.

abc: 4.959 5.081 5.081
angles: 90.00 90.00 90.00
Positions (direct):
Pb: 0.500 0.500 0.500
Ac: 0.500 0.000 0.000
Dy: 0.000 0.000 0.500
Dy: 0.000 0.500 0.000

Computed properties:
distance to the lowest polymorph of the same formula	0.00	eV/f.u.



Record 4
Computed, not measured: a geometry-optimized BaAl2 structure at the PBE level of DFT.

abc: 6.765 6.765 6.765
angles: 150.22 146.99 45.05
Positions (direct):
Ba: 0.000 0.000 0.000
Al: 0.702 0.702 0.000
Al: 0.298 0.298 0.000

Computed properties:
raw total energy	-9.41	eV per cell



Record 5
Computed, not measured: a geometry-optimized CeMgSnHg structure at the PBE level of DFT.

abc: 5.241 5.241 5.241
angles: 60.00 60.00 60.00
Positions (direct):
Mg: 0.250 0.250 0.250
Hg: 0.500 0.500 0.500
Ce: 0.750 0.750 0.750
Sn: 0.000 0.000 0.000

Computed properties:
raw total energy	-13.41	eV per cell